Entry 1:
## Li3AgRu (GGA-PBE)

Data for an optimized crystal structure of Li3AgRu.

a = 4.6481 Å, b = 4.6481 Å, c = 4.6481 Å
α = 90.00°, β = 90.00°, γ = 90.00°
Closest atoms and distances in Å follow each position.
Element x y z (fractional)
Li  0.0000  0.0000  0.5000  2 Ru 2.32
Li  0.0000  0.5000  0.0000  2 Ru 2.32
Li  0.5000  0.0000  0.0000  2 Ru 2.32
Ag  0.5000  0.5000  0.5000  12 Li 3.29
Ru  0.0000  0.0000  0.0000  6 Li 2.32

## Properties
DFT total energy ... -13.793 eV per formula unit
Energy above the lowest structure with this stoichiometry ... 0.000 eV/atom
Energy relative to the elements ... 18.796 kcal/mol of atoms

Entry 2:
## LiAg2Ru (GGA-PBE)

Data for an optimized crystal structure of LiAg2Ru.

a = 2.7887 Å, b = 2.7887 Å, c = 28.1971 Å
α = 90.00°, β = 90.00°, γ = 120.00°
Closest atoms and distances in Å follow each position.
Element x y z (fractional)
Li  0.0000  0.0000  0.0000  6 Li 2.79, 6 Ag 2.81
Li  0.3333  0.6667  0.6667  6 Li 2.79, 6 Ag 2.81
Li  0.6667  0.3333  0.3333  6 Li 2.79, 6 Ag 2.81
Ag  0.0000  0.0000  0.2517  6 Ag 2.79, 3 Li 2.81, 3 Ru 2.89
Ag  0.0000  0.0000  0.7483  6 Ag 2.79, 3 Li 2.81, 3 Ru 2.89
Ag  0.3333  0.6667  0.4150  6 Ag 2.79, 3 Li 2.81, 3 Ru 2.89
Ag  0.3333  0.6667  0.9184  6 Ag 2.79, 3 Li 2.81, 3 Ru 2.89
Ag  0.6667  0.3333  0.0816  6 Ag 2.79, 3 Li 2.81, 3 Ru 2.89
Ag  0.6667  0.3333  0.5850  6 Ag 2.79, 3 Li 2.81, 3 Ru 2.89
Ru  0.0000  0.0000  0.5000  6 Ru 2.79, 6 Ag 2.89
Ru  0.3333  0.6667  0.1667  6 Ru 2.79, 6 Ag 2.89
Ru  0.6667  0.3333  0.8333  6 Ru 2.79, 6 Ag 2.89

## Properties
DFT total energy ... -15.993 eV per formula unit
Energy above the lowest structure with this stoichiometry ... 0.047 eV/atom
Energy relative to the elements ... 5.183 kcal/mol of atoms

Entry 3:
## LiAg2Ru (GGA-PBE)

Data for an optimized crystal structure of LiAg2Ru.

a = 2.7314 Å, b = 4.8210 Å, c = 9.5269 Å
α = 90.00°, β = 90.00°, γ = 90.00°
Closest atoms and distances in Å follow each position.
Element x y z (fractional)
Li  0.0000  0.0000  0.0000  4 Ag 2.65, 2 Li 2.73, 4 Ru 2.77
Li  0.5000  0.5000  0.5000  4 Ag 2.65, 2 Li 2.73, 4 Ru 2.77
Ag  0.0000  0.5000  0.2613  2 Li 2.65, 6 Ag 2.73-2.78, 2 Ru 2.84
Ag  0.0000  0.5000  0.7387  2 Li 2.65, 6 Ag 2.73-2.78, 2 Ru 2.84
Ag  0.5000  0.0000  0.2387  2 Li 2.65, 6 Ag 2.73-2.78, 2 Ru 2.84
Ag  0.5000  0.0000  0.7613  2 Li 2.65, 6 Ag 2.73-2.78, 2 Ru 2.84
Ru  0.0000  0.0000  0.5000  2 Ru 2.73, 4 Li 2.77, 4 Ag 2.84
Ru  0.5000  0.5000  0.0000  2 Ru 2.73, 4 Li 2.77, 4 Ag 2.84

## Properties
DFT total energy ... -15.455 eV per formula unit
Energy above the lowest structure with this stoichiometry ... 0.181 eV/atom
Energy relative to the elements ... 8.285 kcal/mol of atoms

Entry 4:
## LiAg2Ru (GGA-PBE)

Data for an optimized crystal structure of LiAg2Ru.

a = 2.6568 Å, b = 4.3498 Å, c = 5.5366 Å
α = 90.00°, β = 101.21°, γ = 90.00°
Closest atoms and distances in Å follow each position.
Element x y z (fractional)
Li  0.0000  0.0000  0.0000  2 Li 2.66, 4 Ag 2.69, 2 Ru 2.77
Ag  0.4138  0.5000  0.2460  4 Ag 2.66-2.85, 2 Li 2.69, 4 Ru 2.88-2.92
Ag  0.5862  0.5000  0.7540  4 Ag 2.66-2.85, 2 Li 2.69, 4 Ru 2.88-2.92
Ru  0.0000  0.0000  0.5000  2 Ru 2.66, 2 Li 2.77, 8 Ag 2.88-2.92

## Properties
DFT total energy ... -15.862 eV per formula unit
Energy above the lowest structure with this stoichiometry ... 0.080 eV/atom
Energy relative to the elements ... 5.938 kcal/mol of atoms